Density functional theory data (GGA-PBE) for a relaxed Al2GaSn crystal.

Unit cell a=4.8772 b=4.8772 c=4.8772 alpha=60.00 beta=60.00 gamma=60.00
Last column: nearest neighbours and their distance in Å.
Atoms (fractional coordinates):
Ga 0.0000 0.0000 0.0000  8 Al 2.99
Sn 0.5000 0.5000 0.5000  8 Al 2.99
Al 0.7500 0.7500 0.7500  4 Sn 2.99, 4 Ga 2.99
Al 0.2500 0.2500 0.2500  4 Sn 2.99, 4 Ga 2.99

Energy relative to the elements: 0.1651 eV per atom
E_tot: -3.46 eV per atom